1.
ErZrPO | PBE | optimized geometry

Computed properties:
* calculated total energy: -30.76 eV/f.u.
* space group: Pmma, No. 51
* polymorph energy (0 for the lowest one): 0.193 eV/atom

a = 5.0497 Å, b = 4.1115 Å, c = 7.1898 Å
α = 90.00°, β = 90.00°, γ = 90.00°
Fractional coordinates of all 8 atoms:
Er: 0.2500 0.0000 0.1492
Er: 0.7500 0.0000 0.8508
Zr: 0.2500 0.5000 0.7451
Zr: 0.7500 0.5000 0.2549
P: 0.2500 0.5000 0.3805
P: 0.7500 0.5000 0.6195
O: 0.2500 0.0000 0.8347
O: 0.7500 0.0000 0.1653

---

2.
Sr2HgAsP | PBE | optimized geometry

Computed properties:
* calculated total energy: -18.06 eV/f.u.
* space group: Cmc2_1, No. 36

a = 8.6212 Å, b = 8.6212 Å, c = 7.7037 Å
α = 90.00°, β = 90.00°, γ = 150.32°
Fractional coordinates of all 10 atoms:
Sr: 0.0365 0.9635 0.5000
Sr: 0.2068 0.7932 0.8626
Sr: 0.7932 0.2068 0.3626
Sr: 0.9635 0.0365 0.0000
Hg: 0.4015 0.5985 0.6631
Hg: 0.5985 0.4015 0.1631
As: 0.4329 0.5671 0.2946
As: 0.5671 0.4329 0.7946
P: 0.1763 0.8237 0.2524
P: 0.8237 0.1763 0.7524

---

3.
Y3Mg3ZnCuPt | PBE | optimized geometry

Computed properties:
* calculated total energy: -39.60 eV/f.u.
* space group: P-6, No. 174

a = 7.5415 Å, b = 7.5415 Å, c = 3.9967 Å
α = 90.00°, β = 90.00°, γ = 120.00°
Fractional coordinates of all 9 atoms:
Y: 0.0869 0.7376 0.0000
Y: 0.2624 0.3493 0.0000
Y: 0.6507 0.9131 0.0000
Mg: 0.4246 0.0915 0.5000
Mg: 0.6669 0.5754 0.5000
Mg: 0.9085 0.3331 0.5000
Zn: 0.0000 0.0000 0.5000
Cu: 0.6667 0.3333 0.0000
Pt: 0.3333 0.6667 0.5000

---

4.
Ta4SiAsN2 | PBE | optimized geometry

Computed properties:
* calculated total energy: -78.71 eV/f.u.
* space group: P-6m2, No. 187

a = 3.2635 Å, b = 3.2635 Å, c = 12.0540 Å
α = 90.00°, β = 90.00°, γ = 120.00°
Fractional coordinates of all 8 atoms:
Ta: 0.0000 0.0000 0.1538
Ta: 0.0000 0.0000 0.8462
Ta: 0.3333 0.6667 0.3415
Ta: 0.3333 0.6667 0.6585
Si: 0.3333 0.6667 0.0000
As: 0.0000 0.0000 0.5000
N: 0.6667 0.3333 0.2485
N: 0.6667 0.3333 0.7515

---

5.
PrFe2C2 | PBE | optimized geometry

Computed properties:
* calculated total energy: -40.69 eV/f.u.
* space group: Fddd, No. 70

a = 6.3460 Å, b = 5.5181 Å, c = 5.2163 Å
α = 72.42°, β = 55.99°, γ = 51.59°
Fractional coordinates of all 10 atoms:
Pr: 0.1250 0.1250 0.1250
Pr: 0.8750 0.8750 0.8750
Fe: 0.2436 0.2436 0.5064
Fe: 0.4936 0.4936 0.7564
Fe: 0.5064 0.5064 0.2436
Fe: 0.7564 0.7564 0.4936
C: 0.1968 0.5532 0.1968
C: 0.4468 0.8032 0.4468
C: 0.5532 0.1968 0.5532
C: 0.8032 0.4468 0.8032

---

6.
Sm2YNi9 | PBE | optimized geometry

Computed properties:
* calculated total energy: -70.38 eV/f.u.
* space group: R-3m, No. 166
* energy of formation from the pure elements: -423.0 kJ/mol of formula units

a = 8.6464 Å, b = 8.6464 Å, c = 8.6464 Å
α = 33.41°, β = 33.41°, γ = 33.41°
Fractional coordinates of all 12 atoms:
Sm: 0.1391 0.1391 0.1391
Sm: 0.8609 0.8609 0.8609
Y: 0.0000 0.0000 0.0000
Ni: 0.0815 0.5813 0.5813
Ni: 0.3329 0.3329 0.3329
Ni: 0.4187 0.4187 0.9185
Ni: 0.4187 0.9185 0.4187
Ni: 0.5000 0.5000 0.5000
Ni: 0.5813 0.0815 0.5813
Ni: 0.5813 0.5813 0.0815
Ni: 0.6671 0.6671 0.6671
Ni: 0.9185 0.4187 0.4187

---

Copy entry 6 word for word.
Sm2YNi9 | PBE | optimized geometry

Computed properties:
* calculated total energy: -70.38 eV/f.u.
* space group: R-3m, No. 166
* energy of formation from the pure elements: -423.0 kJ/mol of formula units

a = 8.6464 Å, b = 8.6464 Å, c = 8.6464 Å
α = 33.41°, β = 33.41°, γ = 33.41°
Fractional coordinates of all 12 atoms:
Sm: 0.1391 0.1391 0.1391
Sm: 0.8609 0.8609 0.8609
Y: 0.0000 0.0000 0.0000
Ni: 0.0815 0.5813 0.5813
Ni: 0.3329 0.3329 0.3329
Ni: 0.4187 0.4187 0.9185
Ni: 0.4187 0.9185 0.4187
Ni: 0.5000 0.5000 0.5000
Ni: 0.5813 0.0815 0.5813
Ni: 0.5813 0.5813 0.0815
Ni: 0.6671 0.6671 0.6671
Ni: 0.9185 0.4187 0.4187

---

Please write out number 3 again, unchanged.
Y3Mg3ZnCuPt | PBE | optimized geometry

Computed properties:
* calculated total energy: -39.60 eV/f.u.
* space group: P-6, No. 174

a = 7.5415 Å, b = 7.5415 Å, c = 3.9967 Å
α = 90.00°, β = 90.00°, γ = 120.00°
Fractional coordinates of all 9 atoms:
Y: 0.0869 0.7376 0.0000
Y: 0.2624 0.3493 0.0000
Y: 0.6507 0.9131 0.0000
Mg: 0.4246 0.0915 0.5000
Mg: 0.6669 0.5754 0.5000
Mg: 0.9085 0.3331 0.5000
Zn: 0.0000 0.0000 0.5000
Cu: 0.6667 0.3333 0.0000
Pt: 0.3333 0.6667 0.5000

---

The lowest calculated total energy belongs to which entry? Ta4SiAsN2